## w
Here is a geometry-optimized TcNiMo structure from Alexandria. Energies are from PBE.

```
3
Lattice="4.705 0.001 0.002 2.291 4.110 -0.002 -2.991 -2.919 2.162" Properties=species:S:1:pos:R:3 pbc="T T T"
Mo 0.026 0.015 0.000
Ni 4.684 2.752 0.000
Tc 2.286 1.343 0.000
```

V = 13.93 Å³/atom


## x
Here is a geometry-optimized TcNiMo structure from Alexandria. Energies are from PBE.

```
3
Lattice="4.332 0.000 0.000 -2.166 3.752 0.000 0.000 0.000 2.584" Properties=species:S:1:pos:R:3 pbc="T T T"
Mo 0.000 0.000 0.069
Ni 2.166 1.251 0.693
Tc 0.000 2.501 1.823
```

V = 14.00 Å³/atom


## y
Here is a geometry-optimized TcNiMo structure from Alexandria. Energies are from PBE.

```
3
Lattice="4.037 0.000 0.000 2.019 3.497 0.000 2.019 1.166 3.297" Properties=species:S:1:pos:R:3 pbc="T T T"
Mo 4.037 2.331 1.648
Ni 6.056 3.497 2.472
Tc 0.000 0.000 0.000
```

V = 15.51 Å³/atom


## z
Here is a geometry-optimized TcNiMo structure from Alexandria. Energies are from PBE.

```
3
Lattice="4.705 -0.028 0.000 2.566 3.944 0.000 -3.636 -1.958 2.255" Properties=species:S:1:pos:R:3 pbc="T T T"
Mo 0.003 0.002 0.000
Ni 2.441 1.315 0.000
Tc 4.827 2.600 0.000
```

V = 14.00 Å³/atom


Most stable to least stable, the ends of the list are w and y.


## w
Here is a geometry-optimized TcNi2Mo structure from Alexandria. Energies are from PBE.

```
4
Lattice="-1.781 -0.123 -1.882 -0.969 -2.162 1.056 -4.830 4.263 4.293" Properties=species:S:1:pos:R:3 pbc="T T T"
Mo -4.998 2.055 2.807
Ni -0.026 0.023 0.023
Ni -2.389 2.108 2.123
Tc -2.583 -0.077 0.660
```

V = 13.02 Å³/atom


## x
Here is a geometry-optimized TcNi2Mo structure from Alexandria. Energies are from PBE.

```
4
Lattice="-2.605 3.583 1.386 -4.525 -1.032 -0.045 3.731 -2.105 1.788" Properties=species:S:1:pos:R:3 pbc="T T T"
Ni 0.000 0.000 0.000
Ni -3.565 1.276 0.670
Mo -2.180 -0.931 1.207
Tc -1.219 1.377 1.922
```

V = 13.00 Å³/atom


## y
Here is a geometry-optimized TcNi2Mo structure from Alexandria. Energies are from PBE.

```
4
Lattice="-0.951 -2.702 1.406 1.504 0.865 2.678 -4.285 2.363 1.643" Properties=species:S:1:pos:R:3 pbc="T T T"
Mo -2.937 0.854 3.274
Ni -4.283 2.362 1.642
Ni -2.145 1.183 0.822
Tc -0.795 -0.328 2.453
```

V = 13.14 Å³/atom


Most stable to least stable, the ends of the list are x and y.


## w
Here is a geometry-optimized TcNi2Mo structure from Alexandria. Energies are from PBE.

```
4
Lattice="-1.518 -2.744 2.782 0.348 -1.920 -1.704 4.474 -1.107 1.349" Properties=species:S:1:pos:R:3 pbc="T T T"
Ni 4.489 -1.374 1.094
Ni 0.453 -1.865 1.566
Mo 2.991 -3.612 1.228
Tc 2.255 -1.540 -0.289
```

V = 12.96 Å³/atom


## x
Here is a geometry-optimized TcNi2Mo structure from Alexandria. Energies are from PBE.

```
4
Lattice="-2.938 -0.276 3.462 -0.554 -0.382 4.499 -0.228 4.550 0.992" Properties=species:S:1:pos:R:3 pbc="T T T"
Mo -0.946 0.913 2.270
Ni -0.232 4.510 0.996
Ni -2.793 2.940 6.723
Tc -1.838 2.027 4.433
```

V = 13.09 Å³/atom


## y
Here is a geometry-optimized TcNi2Mo structure from Alexandria. Energies are from PBE.

```
4
Lattice="-1.605 -1.818 2.759 2.793 -2.388 0.051 1.853 2.222 2.542" Properties=species:S:1:pos:R:3 pbc="T T T"
Ni 0.000 0.000 0.000
Ni 0.594 -2.103 1.405
Mo 2.323 -0.083 1.297
Tc 0.124 0.202 2.650
```

V = 13.00 Å³/atom


## z
Here is a geometry-optimized TcNi2Mo structure from Alexandria. Energies are from PBE.

```
4
Lattice="2.590 0.000 0.000 0.000 3.797 0.000 0.000 0.000 5.337" Properties=species:S:1:pos:R:3 pbc="T T T"
Mo 1.295 1.899 4.085
Ni 0.000 0.000 0.067
Ni 1.295 1.899 1.283
Tc 0.000 0.000 2.570
```

V = 13.12 Å³/atom


Most stable to least stable, the ends of the list are w and z.


## w
Here is a geometry-optimized TcNi2Mo structure from Alexandria. Energies are from PBE.

```
4
Lattice="-3.219 3.017 1.325 -3.544 2.643 -1.294 -3.459 -2.882 0.840" Properties=species:S:1:pos:R:3 pbc="T T T"
Mo -2.555 0.694 0.218
Ni -3.459 -2.863 0.837
Ni -5.111 1.369 0.438
Tc -7.666 2.083 0.653
```

V = 13.25 Å³/atom


## x
Here is a geometry-optimized TcNi2Mo structure from Alexandria. Energies are from PBE.

```
4
Lattice="4.555 -0.028 0.000 1.472 4.311 0.000 -3.013 -2.142 2.661" Properties=species:S:1:pos:R:3 pbc="T T T"
Mo 2.278 -0.014 1.331
Ni 0.000 0.000 0.000
Ni 0.736 2.155 1.331
Tc 3.013 2.142 0.000
```

V = 13.09 Å³/atom


Most stable to least stable, the ends of the list are x and w.


## w
Here is a geometry-optimized TcNi2Mo structure from Alexandria. Energies are from PBE.

```
4
Lattice="4.648 -0.019 -0.024 -2.887 5.041 0.031 0.019 1.329 2.229" Properties=species:S:1:pos:R:3 pbc="T T T"
Mo 2.333 0.655 1.102
Ni 0.000 0.000 0.000
Ni -1.434 3.185 1.130
Tc 0.880 2.511 0.003
```

V = 13.00 Å³/atom


## x
Here is a geometry-optimized TcNi2Mo structure from Alexandria. Energies are from PBE.

```
4
Lattice="-6.926 -3.413 4.096 -7.538 -4.128 1.592 -5.912 -5.662 3.062" Properties=species:S:1:pos:R:3 pbc="T T T"
Mo -15.207 -9.853 6.530
Ni -20.303 -13.155 8.718
Ni -5.140 -3.331 2.207
Tc -10.289 -6.667 4.418
```

V = 13.33 Å³/atom


## y
Here is a geometry-optimized TcNi2Mo structure from Alexandria. Energies are from PBE.

```
4
Lattice="-2.122 1.914 3.082 -3.314 2.416 -0.917 -3.876 -1.284 0.995" Properties=species:S:1:pos:R:3 pbc="T T T"
Ni -2.328 0.762 0.790
Ni -6.984 2.285 2.369
Mo 0.000 0.000 0.000
Tc -4.656 1.523 1.580
```

V = 13.12 Å³/atom


Most stable to least stable, the ends of the list are w and y.


## w
Here is a geometry-optimized TcNi2Mo structure from Alexandria. Energies are from PBE.

```
4
Lattice="8.817 0.002 0.001 8.417 2.625 0.001 8.417 1.283 2.290" Properties=species:S:1:pos:R:3 pbc="T T T"
Mo 19.239 2.932 1.719
Ni 25.609 3.903 2.288
Ni 12.869 1.961 1.150
Tc 6.413 0.977 0.573
```

V = 13.24 Å³/atom


## x
Here is a geometry-optimized TcNi2Mo structure from Alexandria. Energies are from PBE.

```
8
Lattice="-3.646 -3.643 4.223 0.589 -5.269 -4.036 0.565 -5.148 1.303" Properties=species:S:1:pos:R:3 pbc="T T T"
Ni -2.067 -4.226 2.465
Ni 0.057 -5.032 -1.673
Ni -0.723 -7.198 1.051
Ni -2.250 -11.664 1.137
Mo -1.528 -4.456 0.093
Mo -0.187 -7.437 -1.320
Tc 0.000 0.000 0.000
Tc -2.304 -6.624 2.810
```

V = 13.96 Å³/atom


## y
Here is a geometry-optimized TcNi2Mo structure from Alexandria. Energies are from PBE.

```
4
Lattice="3.118 0.000 0.000 0.000 3.118 0.000 0.000 0.000 5.407" Properties=species:S:1:pos:R:3 pbc="T T T"
Mo 1.559 1.559 4.108
Ni 0.000 0.000 0.103
Ni 1.559 1.559 1.235
Tc 0.000 0.000 2.664
```

V = 13.14 Å³/atom


Most stable to least stable, the ends of the list are y and x.


## w
Here is a geometry-optimized TcNi2Mo structure from Alexandria. Energies are from PBE.

```
8
Lattice="2.576 0.000 -0.322 0.000 4.223 0.000 -0.101 0.000 9.643" Properties=species:S:1:pos:R:3 pbc="T T T"
Tc 0.538 1.056 4.295
Tc 1.937 3.167 5.026
Ni 2.403 1.056 8.746
Ni 0.072 3.167 0.575
Ni 2.111 1.056 6.413
Ni 0.364 3.167 2.908
Mo 1.502 1.056 1.551
Mo 0.973 3.167 7.770
```

V = 13.10 Å³/atom


## x
Here is a geometry-optimized TcNi2Mo structure from Alexandria. Energies are from PBE.

```
4
Lattice="-1.550 -1.116 1.754 2.130 -3.216 -0.164 3.020 1.805 3.817" Properties=species:S:1:pos:R:3 pbc="T T T"
Mo 2.554 -0.812 3.658
Ni 0.015 0.009 0.019
Ni 1.494 0.893 1.889
Tc 1.044 -1.715 1.749
```

V = 12.99 Å³/atom


Most stable to least stable, the ends of the list are x and w.


## w
Here is a geometry-optimized TcNi3Mo structure from Alexandria. Energies are from PBE.

```
5
Lattice="4.350 0.000 0.000 0.000 4.350 0.000 0.000 0.000 4.350" Properties=species:S:1:pos:R:3 pbc="T T T"
Ni 0.000 2.175 0.000
Ni 0.000 0.000 2.175
Ni 2.175 0.000 0.000
Mo 2.175 2.175 2.175
Tc 0.000 0.000 0.000
```

V = 16.46 Å³/atom


## x
Here is a geometry-optimized TcNi3Mo structure from Alexandria. Energies are from PBE.

```
10
Lattice="4.086 0.000 -0.923 -0.065 4.582 -0.286 -0.578 -0.010 6.948" Properties=species:S:1:pos:R:3 pbc="T T T"
Tc 2.754 3.845 2.684
Tc 0.690 0.727 3.055
Ni 3.348 3.447 5.314
Ni 0.096 1.124 0.425
Ni 0.990 3.105 4.384
Ni 2.454 1.467 1.355
Ni 0.421 2.958 1.863
Ni 3.023 1.614 3.875
Mo 2.179 3.681 0.139
Mo 1.265 0.891 5.599
```

V = 12.76 Å³/atom


Most stable to least stable, the ends of the list are x and w.


## w
Here is a geometry-optimized NiTe2Mo structure from Alexandria. Energies are from PBE.

```
4
Lattice="-0.551 -0.848 4.415 2.530 0.476 3.727 -1.850 5.047 1.428" Properties=species:S:1:pos:R:3 pbc="T T T"
Ni -0.925 2.524 0.714
Te -0.965 3.749 2.892
Te 1.094 0.927 6.678
Mo 0.989 -0.186 4.071
```

V = 19.79 Å³/atom


## x
Here is a geometry-optimized NiTe2Mo structure from Alexandria. Energies are from PBE.

```
4
Lattice="3.386 0.000 0.000 0.000 3.402 0.028 0.000 2.538 6.529" Properties=species:S:1:pos:R:3 pbc="T T T"
Mo 1.693 1.485 1.639
Ni 1.693 4.455 4.918
Te 0.000 3.147 0.029
Te 0.000 3.226 3.278
```

V = 18.74 Å³/atom


## y
Here is a geometry-optimized NiTe2Mo structure from Alexandria. Energies are from PBE.

```
4
Lattice="-1.746 2.978 6.885 -1.386 -0.384 7.566 1.396 1.648 7.393" Properties=species:S:1:pos:R:3 pbc="T T T"
Mo -0.434 1.061 5.461
Ni -1.302 3.182 16.383
Te -0.008 0.019 0.099
Te -0.860 2.102 10.822
```

V = 19.17 Å³/atom


Most stable to least stable, the ends of the list are y and w.


## w
Here is a geometry-optimized Ti3NiMo structure from Alexandria. Energies are from PBE.

```
5
Lattice="-1.517 0.147 4.189 2.929 -3.150 1.171 2.999 3.151 0.976" Properties=species:S:1:pos:R:3 pbc="T T T"
Ni 0.000 0.000 0.000
Mo 2.205 0.074 3.168
Ti 1.464 -1.575 0.586
Ti 1.499 1.575 0.488
Ti -0.759 0.074 2.094
```

V = 17.72 Å³/atom


## x
Here is a geometry-optimized Ti3NiMo structure from Alexandria. Energies are from PBE.

```
10
Lattice="4.166 0.000 -1.326 0.000 4.369 0.000 0.316 0.000 8.193" Properties=species:S:1:pos:R:3 pbc="T T T"
Ti 2.508 1.504 2.699
Ti 3.434 1.504 5.607
Ti 0.419 3.689 3.348
Ti 4.048 1.504 0.327
Ti 1.960 3.689 0.976
Ti 1.348 3.688 6.261
Ni 1.511 1.505 -0.432
Ni 2.955 3.690 4.108
Mo 3.588 3.689 -1.118
Mo 0.879 1.504 4.793
```

V = 15.10 Å³/atom


Most stable to least stable, the ends of the list are x and w.


## w
Here is a geometry-optimized TlNiMo2 structure from Alexandria. Energies are from PBE.

```
4
Lattice="4.861 0.005 0.027 4.051 2.687 0.027 0.719 0.217 5.053" Properties=species:S:1:pos:R:3 pbc="T T T"
Mo 8.914 2.693 0.226
Mo 2.266 0.684 1.237
Ni 4.894 1.478 2.530
Tl 7.285 2.201 3.720
```

V = 16.46 Å³/atom


## x
Here is a geometry-optimized TlNiMo2 structure from Alexandria. Energies are from PBE.

```
4
Lattice="-4.336 1.035 0.728 -1.666 3.924 -1.492 -2.919 0.050 -3.446" Properties=species:S:1:pos:R:3 pbc="T T T"
Ni 0.000 0.000 0.000
Tl -4.461 2.505 -2.105
Mo -2.230 1.252 -1.053
Mo -6.691 3.757 -3.158
```

V = 16.29 Å³/atom


Most stable to least stable, the ends of the list are w and x.